# 1
# SmFe2Cl8 PBE-GGA relaxed
data_SmFe2Cl8
_symmetry_space_group_name_H-M 'C 1 2/m 1'
_symmetry_Int_Tables_number 12
_cell_length_a 12.873
_cell_length_b 9.236
_cell_length_c 6.399
_cell_angle_alpha 90.00
_cell_angle_beta 94.90
_cell_angle_gamma 90.00
loop_
_symmetry_equiv_pos_as_xyz
'x,y,z'
'-x,-y,-z'
'-x,y,-z'
'x,-y,z'
'x+1/2,y+1/2,z'
'-x+1/2,-y+1/2,-z'
'-x+1/2,y+1/2,-z'
'x+1/2,-y+1/2,z'
loop_
_atom_site_label
_atom_site_fract_x
_atom_site_fract_y
_atom_site_fract_z
Sm1 0.000 0.000 0.000
Fe1 0.192 0.000 0.641
Cl1 0.100 0.192 0.764
Cl2 0.147 0.500 0.238
Cl3 0.173 0.000 0.283
# energy relative to the elements, uncorrected = -1.27 eV per atom
# mass density = 2.390 g/cm3
# spin magnetization = 0.8182 μB/atom
# crystal system = monoclinic


# 2
# CsHCl PBE-GGA relaxed
data_CsHCl
_symmetry_space_group_name_H-M 'P m m m'
_symmetry_Int_Tables_number 47
_cell_length_a 4.492
_cell_length_b 4.597
_cell_length_c 8.861
_cell_angle_alpha 90.00
_cell_angle_beta 90.00
_cell_angle_gamma 90.00
loop_
_symmetry_equiv_pos_as_xyz
'x,y,z'
'-x,-y,-z'
'-x,-y,z'
'x,y,-z'
'x,-y,-z'
'-x,y,z'
'-x,y,-z'
'x,-y,z'
loop_
_atom_site_label
_atom_site_fract_x
_atom_site_fract_y
_atom_site_fract_z
Cs1 0.000 0.000 0.000
Cs2 0.000 0.500 0.500
H1 0.500 0.000 0.457
Cl1 0.500 0.500 0.217
# mass density = 3.074 g/cm3
# spin magnetization = 0.0000 μB/atom
# crystal system = orthorhombic
# energy = -3.264 eV/atom


# 3
# KBe2Cr PBE-GGA relaxed
data_KBe2Cr
_symmetry_space_group_name_H-M 'P m m m'
_symmetry_Int_Tables_number 47
_cell_length_a 2.986
_cell_length_b 4.848
_cell_length_c 4.929
_cell_angle_alpha 90.00
_cell_angle_beta 90.00
_cell_angle_gamma 90.00
loop_
_symmetry_equiv_pos_as_xyz
'x,y,z'
'-x,-y,-z'
'-x,-y,z'
'x,y,-z'
'x,-y,-z'
'-x,y,z'
'-x,y,-z'
'x,-y,z'
loop_
_atom_site_label
_atom_site_fract_x
_atom_site_fract_y
_atom_site_fract_z
K1 0.000 0.000 0.000
Be1 0.000 0.500 0.500
Be2 0.500 0.500 0.000
Cr1 0.500 0.000 0.500
# mass density = 2.539 g/cm3
# spin magnetization = 1.0229 μB/atom
# E above lowest polymorph = 901.2 meV/atom
# calculated formation energy = 34.65 kcal/mol of atoms
# crystal system = orthorhombic